(1)
4
Lattice="-1.9546 -2.3376 -1.1031 0.8887 -1.9064 2.4653 -6.0475 2.9510 4.4620" Properties=species:S:1:pos:R:3 comment="meta-GGA SCAN CaScZn2, PBEsol geometry" e_form_ev_per_atom=-0.1068 spacegroup="P4mm, No. 99" volume_a3_per_atom=21.2 dos_at_fermi_per_ev_cell=3.43 pbc="T T T"
Ca -2.7653 1.3494 2.0403
Zn -1.7247 -1.5405 1.5604
Zn -0.1761 0.0859 0.1299
Sc -5.4712 0.2877 4.3246



(2)
5
Lattice="-4.1354 1.9774 -2.1286 -2.5184 -4.2860 0.9112 -1.5977 1.9922 4.9550" Properties=species:S:1:pos:R:3 comment="meta-GGA SCAN CoTe2OsI, PBEsol geometry" spacegroup="P4/mmm, No. 123" volume_a3_per_atom=28.5 raw_formation_energy_kj_per_mol_fu=534 dos_at_fermi_per_ev_cell=4.80 pbc="T T T"
Co -4.1258 -0.1582 1.8688
Te -1.2592 -2.1430 0.4556
Te -2.0677 0.9887 -1.0643
Os 0.0000 0.0000 0.0000
I -0.7989 0.9961 2.4775



(3)
3
Lattice="4.2941 0.0000 0.0000 2.1470 3.7188 0.0000 2.1470 1.2396 3.5061" Properties=species:S:1:pos:R:3 comment="meta-GGA SCAN InReTc, PBEsol geometry" e_form_ev_per_atom=0.6311 spacegroup="F-43m, No. 216" volume_a3_per_atom=18.7 e_above_lowest_polymorph_mev_per_atom=191 dos_at_fermi_per_ev_cell=2.49 pbc="T T T"
In 4.2941 2.4792 1.7531
Re 2.1470 1.2396 0.8765
Tc 0.0000 0.0000 0.0000



(4)
6
Lattice="5.6178 0.0000 0.0000 2.8089 4.8652 0.0000 2.8089 1.6217 4.5869" Properties=species:S:1:pos:R:3 comment="meta-GGA SCAN AlSiSe4, PBEsol geometry" spacegroup="F-43m, No. 216" volume_a3_per_atom=20.9 raw_formation_energy_kj_per_mol_fu=518 dos_at_fermi_per_ev_cell=2.51 pbc="T T T"
Se 5.6178 4.8664 1.7197
Se 5.6178 3.2434 4.0148
Se 4.2123 2.4320 1.7197
Se 7.0233 2.4320 1.7197
Si 8.4267 4.8652 3.4402
Al 0.0000 0.0000 0.0000



(5)
5
Lattice="5.0913 0.0000 0.0000 0.0000 5.0913 0.0000 0.0000 0.0000 6.2014" Properties=species:S:1:pos:R:3 comment="meta-GGA SCAN BaNiSnMo2, PBEsol geometry" e_form_ev_per_atom=1.9281 spacegroup="P4/mmm, No. 123" volume_a3_per_atom=32.1 dos_at_fermi_per_ev_cell=6.43 pbc="T T T"
Ba 0.0000 0.0000 3.1007
Mo 2.5456 0.0000 0.0000
Mo 0.0000 2.5456 0.0000
Sn 0.0000 0.0000 0.0000
Ni 2.5456 2.5456 3.1007



(6)
5
Lattice="4.9833 0.0000 0.0000 0.0000 4.9833 0.0000 0.0000 0.0000 4.9833" Properties=species:S:1:pos:R:3 comment="meta-GGA SCAN HfZr3Re, PBEsol geometry" e_form_ev_per_atom=0.5633 spacegroup="Pm-3m, No. 221" volume_a3_per_atom=24.8 dos_at_fermi_per_ev_cell=6.61 pbc="T T T"
Zr 2.4916 0.0000 0.0000
Zr 0.0000 0.0000 2.4916
Zr 0.0000 2.4916 0.0000
Hf 2.4916 2.4916 2.4916
Re 0.0000 0.0000 0.0000



(7)
5
Lattice="-3.2900 -2.3702 -1.5398 2.2511 -3.6262 0.7718 -1.7091 -0.2138 3.9807" Properties=species:S:1:pos:R:3 comment="meta-GGA SCAN CrTc3P, PBEsol geometry" e_form_ev_per_atom=1.5002 spacegroup="Pm-3m, No. 221" volume_a3_per_atom=16.3 dos_at_fermi_per_ev_cell=4.66 pbc="T T T"
P -1.3740 -3.1051 1.6063
Tc 1.1256 -1.8131 0.3859
Tc -0.8546 -0.1069 1.9904
Tc -1.6450 -1.1851 -0.7699
Cr 0.0000 0.0000 0.0000



(8)
5
Lattice="4.8363 0.0000 0.0000 0.0000 4.8363 0.0000 0.0000 0.0000 5.1091" Properties=species:S:1:pos:R:3 comment="meta-GGA SCAN ScHgP2Cl, PBEsol geometry" spacegroup="P4/mmm, No. 123" volume_a3_per_atom=23.9 raw_formation_energy_kj_per_mol_fu=228 dos_at_fermi_per_ev_cell=2.18 pbc="T T T"
P 0.0000 2.4182 0.0000
P 2.4182 0.0000 0.0000
Sc 2.4182 2.4182 2.5545
Cl 0.0000 0.0000 2.5545
Hg 0.0000 0.0000 0.0000



(9)
5
Lattice="4.7232 0.0000 0.0000 0.0000 4.7232 0.0000 0.0000 0.0000 4.7232" Properties=species:S:1:pos:R:3 comment="meta-GGA SCAN ScGaAu3, PBEsol geometry" e_form_ev_per_atom=-0.0796 spacegroup="Pm-3m, No. 221" volume_a3_per_atom=21.1 e_above_lowest_polymorph_mev_per_atom=0 dos_at_fermi_per_ev_cell=2.80 pbc="T T T"
Au 0.0000 2.3616 0.0000
Au 2.3616 0.0000 0.0000
Au 0.0000 0.0000 2.3616
Ga 0.0000 0.0000 0.0000
Sc 2.3616 2.3616 2.3616



(10)
5
Lattice="-2.6541 0.0192 3.5711 -2.9683 -2.8374 -2.1908 2.2678 -3.6892 1.7054" Properties=species:S:1:pos:R:3 comment="meta-GGA SCAN BeAlTl2W, PBEsol geometry" e_form_ev_per_atom=1.1354 spacegroup="P4/mmm, No. 123" volume_a3_per_atom=19.3 dos_at_fermi_per_ev_cell=2.89 pbc="T T T"
Tl 1.1339 -1.8446 0.8527
Tl -1.4842 -1.4187 -1.0954
W -1.3271 0.0096 1.7856
Al -1.6773 -3.2537 1.5428
Be 0.0000 0.0000 0.0000



(11)
8
Lattice="-3.0260 3.3890 -3.2876 -2.8785 -2.1211 -4.3203 -5.6020 -0.1843 0.1831" Properties=species:S:1:pos:R:3 comment="meta-GGA SCAN Zn7In, PBEsol geometry" e_form_ev_per_atom=0.1199 spacegroup="Fm-3m, No. 225" volume_a3_per_atom=15.6 dos_at_fermi_per_ev_cell=3.32 pbc="T T T"
Zn -1.5130 1.6945 -1.6438
Zn -1.4392 -1.0606 -2.1602
Zn -2.9522 0.6339 -3.8039
Zn -4.2402 -1.1527 -2.0686
Zn -4.3140 1.6024 -1.5522
Zn -5.7532 0.5418 -3.7124
Zn -2.8010 -0.0921 0.0916
In 0.0000 0.0000 0.0000



(12)
5
Lattice="-2.0163 -3.3333 -1.4621 0.0423 -1.6928 3.8009 -3.6869 4.8591 -0.0726" Properties=species:S:1:pos:R:3 comment="meta-GGA SCAN SrGe2Rh2, PBEsol geometry" e_form_ev_per_atom=-0.9228 spacegroup="I4/mmm, No. 139" volume_a3_per_atom=18.5 dos_at_fermi_per_ev_cell=1.25 pbc="T T T"
Ge -3.4493 1.7314 0.8095
Ge -2.2115 -1.8984 1.4568
Rh -3.3451 -0.4937 -0.1826
Rh -2.3158 0.3266 2.4489
Sr 0.0000 0.0000 0.0000



(13)
4
Lattice="4.6679 0.0000 0.0000 2.3339 4.0425 0.0000 2.3339 1.3475 3.8113" Properties=species:S:1:pos:R:3 comment="meta-GGA SCAN PmCdRh2, PBEsol geometry" e_form_ev_per_atom=-0.5125 spacegroup="Fm-3m, No. 225" volume_a3_per_atom=18.0 dos_at_fermi_per_ev_cell=2.37 pbc="T T T"
Cd 4.6679 2.6950 1.9057
Rh 7.0018 4.0425 2.8585
Rh 2.3339 1.3475 0.9528
Pm 0.0000 0.0000 0.0000



(14)
3
Lattice="3.2746 0.0000 0.0000 0.0000 3.2746 0.0000 -1.6373 -1.6373 5.5324" Properties=species:S:1:pos:R:3 comment="meta-GGA SCAN TlCrAs, PBEsol geometry" e_form_ev_per_atom=0.0685 spacegroup="I4mm, No. 107" volume_a3_per_atom=19.8 dos_at_fermi_per_ev_cell=1.53 pbc="T T T"
Cr 1.6373 1.6373 1.3995
Tl 0.0000 0.0000 3.6361
As 0.0000 0.0000 0.4967



(15)
4
Lattice="-2.2087 -2.4346 -1.2856 1.4009 -2.4127 2.1621 -2.4953 3.4545 2.5906" Properties=species:S:1:pos:R:3 comment="meta-GGA SCAN Cu2ReCl, PBEsol geometry" spacegroup="I4/mmm, No. 139" volume_a3_per_atom=13.4 raw_formation_energy_kj_per_mol_fu=467 e_above_lowest_polymorph_mev_per_atom=771 dos_at_fermi_per_ev_cell=2.68 pbc="T T T"
Re -0.4039 -2.4237 0.4382
Cl 0.0000 0.0000 0.0000
Cu -0.7492 -0.6909 2.5955
Cu -2.5540 -0.7019 0.8716



(16)
5
Lattice="5.0490 0.0000 0.0000 0.0000 5.0490 0.0000 0.0000 0.0000 5.5535" Properties=species:S:1:pos:R:3 comment="meta-GGA SCAN CrTe2RuI, PBEsol geometry" spacegroup="P4/mmm, No. 123" volume_a3_per_atom=28.3 raw_formation_energy_kj_per_mol_fu=284 dos_at_fermi_per_ev_cell=5.43 pbc="T T T"
I 0.0000 0.0000 2.7768
Ru 0.0000 0.0000 0.0000
Te 2.5245 0.0000 0.0000
Te 0.0000 2.5245 0.0000
Cr 2.5245 2.5245 2.7768



(17)
5
Lattice="-4.0528 2.7696 -1.4024 -3.1002 -3.4905 2.0660 0.1620 2.4917 4.4529" Properties=species:S:1:pos:R:3 comment="meta-GGA SCAN Ta3HPb, PBEsol geometry" final_energy_ev_per_atom=-52.56 spacegroup="Pm-3m, No. 221" volume_a3_per_atom=26.6 dos_at_fermi_per_ev_cell=3.47 pbc="T T T"
Ta -2.0264 1.3848 -0.7012
Ta -1.5501 -1.7452 1.0330
Ta 0.0810 1.2459 2.2264
H -3.4955 0.8854 2.5582
Pb 0.0000 0.0000 0.0000



(18)
3
Lattice="3.1092 0.0000 0.0000 -1.5546 2.6927 0.0000 0.0000 0.0000 6.3212" Properties=species:S:1:pos:R:3 comment="meta-GGA SCAN MgAsW, PBEsol geometry" e_form_ev_per_atom=0.2192 spacegroup="P3m1, No. 156" volume_a3_per_atom=17.6 e_above_lowest_polymorph_mev_per_atom=0 dos_at_fermi_per_ev_cell=1.97 pbc="T T T"
As 0.0000 0.0000 0.1843
Mg 0.0000 1.7951 4.2101
W 1.5546 0.8976 1.9267



(19)
3
Lattice="2.9347 0.0000 0.0000 0.0000 4.4069 0.0000 0.0000 -2.2034 3.8165" Properties=species:S:1:pos:R:3 comment="meta-GGA SCAN InMoOs, PBEsol geometry" e_form_ev_per_atom=0.4139 spacegroup="P3m1, No. 156" volume_a3_per_atom=16.5 e_above_lowest_polymorph_mev_per_atom=0 dos_at_fermi_per_ev_cell=1.40 pbc="T T T"
Os 1.1958 2.2034 1.2721
Mo 1.6882 0.0000 2.5443
In 0.0508 0.0000 0.0000



(20)
4
Lattice="2.7438 0.0000 0.0000 1.3719 2.3762 0.0000 1.3719 0.7921 9.0188" Properties=species:S:1:pos:R:3 comment="meta-GGA SCAN Tc2PtW, PBEsol geometry" e_form_ev_per_atom=0.0864 spacegroup="R-3m, No. 166" volume_a3_per_atom=14.7 e_above_lowest_polymorph_mev_per_atom=322 dos_at_fermi_per_ev_cell=3.71 pbc="T T T"
Pt 0.0000 0.0000 0.0000
W 2.7438 1.5842 4.5094
Tc 4.1157 2.3762 6.7491
Tc 1.3719 0.7921 2.2697